KNaCa2As: relaxed, PBE.

Values from the calculation:
E_tot = -2.605 eV per atom

Geometry as POSCAR:
```
KNaCa2As
1.0
5.7081 0.0000 0.0000
0.0000 5.7081 0.0000
0.0000 0.0000 6.5457
K Na Ca As
1 1 2 1
Direct
0.0000 0.0000 0.0000
0.5000 0.5000 0.0000
0.0000 0.5000 0.5000
0.5000 0.0000 0.5000
0.0000 0.0000 0.5000
```